VASP calculation (PBE) on Re2SiMo after structural relaxation.

abc: 4.359 2.767 4.903
angles: 85.39 90.00 90.00
Element x y z (fractional)
Si: 0.500 0.250 0.250
Re: 0.000 0.056 0.004
Re: 0.000 0.444 0.496
Mo: 0.500 0.750 0.750

Properties
- Energy: -0.3759 Ha/atom
- Energy relative to the elements, uncorrected: 0.06 eV per atom
- Density of states at the Fermi level: 0.59 states/eV/atom
- Symmetry: P2/m (10)